(1)
La3AlGe3 | Alexandria via LeMat-Bulk | GGA-PBE | optimized geometry; DFT formation energy = -762.7 meV/atom; SG = Imm2; calculated density = 6.1 Mg/m³; DOS at the Fermi energy = 4.8 states/eV/cell; uncorrected energy = -0.39601 Ry/atom
1.0
4.0781 0.0000 -0.8897
-0.2248 4.4361 -1.0305
0.0477 -0.0157 10.0100
La Al Ge
3 1 3
direct
0.3146 0.8146 0.6292
0.6822 0.1822 0.3644
0.0031 0.0031 0.0061
0.4329 0.4329 0.8657
0.1474 0.6474 0.2949
0.8558 0.3558 0.7116
0.5641 0.5641 0.1282

---

(2)
La2AlGe2 | Alexandria via LeMat-Bulk | GGA-PBE | optimized geometry; DFT formation energy = -714.7 meV/atom; SG = Immm; calculated density = 6.0 Mg/m³; DOS at the Fermi energy = 4.0 states/eV/cell; uncorrected energy = -0.38816 Ry/atom
1.0
-0.6766 4.0271 1.2017
3.0956 1.2849 4.9698
4.9755 3.2787 -0.6531
La Al Ge
2 1 2
direct
0.2933 0.2068 0.7068
0.7067 0.7932 0.2932
0.5000 0.5000 0.0000
0.0000 0.2316 0.2684
0.0000 0.7684 0.7316

---

(3)
La3AlGe2 | Alexandria via LeMat-Bulk | GGA-PBE | optimized geometry; DFT formation energy = -709.5 meV/atom; SG = Pnma; calculated density = 5.9 Mg/m³; DOS at the Fermi energy = 19.1 states/eV/cell; uncorrected energy = -0.39219 Ry/atom
1.0
4.3301 0.0000 0.0000
0.0000 12.3502 0.0000
0.0000 0.0000 12.3448
La Al Ge
12 4 8
direct
0.2500 0.3850 0.0627
0.7500 0.6150 0.9373
0.7500 0.8850 0.4373
0.2500 0.1150 0.5627
0.2500 0.7092 0.1973
0.7500 0.2908 0.8027
0.7500 0.2092 0.3027
0.2500 0.7908 0.6973
0.2500 0.4396 0.3794
0.7500 0.5604 0.6206
0.7500 0.9396 0.1206
0.2500 0.0604 0.8794
0.2500 0.1335 0.1340
0.7500 0.8665 0.8660
0.7500 0.6335 0.3660
0.2500 0.3665 0.6340
0.2500 0.6876 0.4684
0.7500 0.3124 0.5316
0.7500 0.1876 0.0316
0.2500 0.8124 0.9684
0.2500 0.0153 0.3075
0.7500 0.9847 0.6925
0.7500 0.5153 0.1925
0.2500 0.4847 0.8075

---

The lowest DOS at the Fermi energy belongs to which entry?
La2AlGe2